Entry 1:
Here is an optimized crystal structure of YBAs3 from Alexandria via LeMat-Bulk. Energies are from GGA-PBE.

## Properties
Its magnetic moment is 0.0 μB per formula unit. As for the crystal system: cubic. The calculation puts the calculated formation energy at 0.13 eV/atom.

Cell lengths 4.537, 4.537, 4.537 Å; angles 90.00, 90.00, 90.00 degrees
Space group Pm-3m (No. 221)
Asymmetric unit:
Y: 0.000 0.000 0.000 [1 per cell]
B: 0.500 0.500 0.500 [1 per cell]
As: 0.000 0.500 0.500 [3 per cell]

***

Entry 2:
Here is an optimized crystal structure of LiSm2SbO6 from Alexandria via LeMat-Bulk. Energies are from GGA-PBE.

## Properties
Its magnetic moment is 0.0 μB per formula unit. As for the crystal system: trigonal. The value obtained for the uncorrected formation energy is -2569 meV/atom.

Cell lengths 5.6573, 5.6573, 14.0135 Å; angles 90.00, 90.00, 120.00 degrees
Space group R3 (No. 146, hexagonal axes)
Asymmetric unit:
Li: 0.0000 0.0000 0.0000 [3 per cell]
Sm: 0.0000 0.0000 0.2639 [3 per cell]
Sm: 0.0000 0.0000 0.7654 [3 per cell]
Sb: 0.0000 0.0000 0.4898 [3 per cell]
O: 0.0024 0.4042 0.2297 [9 per cell]
O: 0.0800 0.7155 0.0668 [9 per cell]

***

Entry 3:
Here is an optimized crystal structure of CdBr2O5 from Alexandria via LeMat-Bulk. Energies are from GGA-PBE.

## Properties
Its magnetic moment is 0.0 μB per formula unit. As for the crystal system: monoclinic. The value obtained for the uncorrected formation energy is -116 meV/atom.

Cell lengths 6.940, 8.443, 10.337 Å; angles 90.00, 90.54, 90.00 degrees
Space group P2_1/c (No. 14)
Asymmetric unit:
Cd: 0.239 0.023 0.423 [4 per cell]
Br: 0.136 0.684 0.614 [4 per cell]
Br: 0.444 0.196 0.147 [4 per cell]
O: 0.068 0.617 0.081 [4 per cell]
O: 0.213 0.687 0.776 [4 per cell]
O: 0.258 0.116 0.066 [4 per cell]
O: 0.364 0.227 0.299 [4 per cell]
O: 0.455 0.115 0.583 [4 per cell]

***

Entry 4:
Here is an optimized crystal structure of TiReTe2I from Alexandria via LeMat-Bulk. Energies are from GGA-PBE.

## Properties
Its magnetic moment is 5.8 μB per formula unit. As for the crystal system: tetragonal. The value obtained for the uncorrected formation energy is 1024 meV/atom.

Cell lengths 5.339, 5.339, 5.580 Å; angles 90.00, 90.00, 90.00 degrees
Space group P4/mmm (No. 123)
Asymmetric unit:
Ti: 0.000 0.000 0.000 [1 per cell]
Re: 0.500 0.500 0.500 [1 per cell]
Te: 0.000 0.500 0.000 [2 per cell]
I: 0.000 0.000 0.500 [1 per cell]

***

Entry 5:
Here is an optimized crystal structure of SrLu3Ni from Alexandria via LeMat-Bulk. Energies are from GGA-PBE.

## Properties
Its magnetic moment is 0.0 μB per formula unit. As for the crystal system: cubic. The calculation puts the calculated formation energy at -0.08 eV/atom.

Cell lengths 5.312, 5.312, 5.312 Å; angles 90.00, 90.00, 90.00 degrees
Space group Pm-3m (No. 221)
Asymmetric unit:
Sr: 0.000 0.000 0.000 [1 per cell]
Lu: 0.000 0.500 0.500 [3 per cell]
Ni: 0.500 0.500 0.500 [1 per cell]